Entry 1:
Entry from the Alexandria database: a crystal of TiSi3Bi relaxed with PBEsol (meta-GGA SCAN).

Unit cell a=5.1778 b=5.1778 c=5.1778 alpha=90.00 beta=90.00 gamma=90.00
With the nearest neighbours (Å) after each atom.
Sites, in units of the cell vectors:
Ti: 0.5000 0.5000 0.5000  12 Si 3.66
Si: 0.0000 0.5000 0.0000  2 Bi 2.59
Si: 0.5000 0.0000 0.0000  2 Bi 2.59
Si: 0.0000 0.0000 0.5000  2 Bi 2.59
Bi: 0.0000 0.0000 0.0000  6 Si 2.59

## Properties
**Formation energy without anion corrections**: 1846 meV per atom
**Crystal system**: cubic


Entry 2:
Entry from the Alexandria database: a crystal of YTi2SiBi relaxed with PBEsol (meta-GGA SCAN).

Unit cell a=4.8822 b=4.8822 c=5.1307 alpha=90.00 beta=90.00 gamma=90.00
With the nearest neighbours (Å) after each atom.
Sites, in units of the cell vectors:
Y: 0.0000 0.0000 0.0000  4 Ti 2.44, 2 Si 2.57
Bi: 0.5000 0.5000 0.5000  4 Si 3.45, 8 Ti 3.54
Ti: 0.0000 0.5000 0.0000  2 Y 2.44
Ti: 0.5000 0.0000 0.0000  2 Y 2.44
Si: 0.0000 0.0000 0.5000  2 Y 2.57

## Properties
**Formation energy without anion corrections**: 1325 meV per atom
**Crystal system**: tetragonal


Entry 3:
Entry from the Alexandria database: a crystal of TlSiBi3 relaxed with PBEsol (meta-GGA SCAN).

Unit cell a=5.4194 b=5.4194 c=5.4194 alpha=90.00 beta=90.00 gamma=90.00
With the nearest neighbours (Å) after each atom.
Sites, in units of the cell vectors:
Bi: 0.0000 0.0000 0.5000  2 Si 2.71
Bi: 0.0000 0.5000 0.0000  2 Si 2.71
Bi: 0.5000 0.0000 0.0000  2 Si 2.71
Tl: 0.5000 0.5000 0.5000  12 Bi 3.83
Si: 0.0000 0.0000 0.0000  6 Bi 2.71

## Properties
**Formation energy without anion corrections**: 540 meV per atom
**Crystal system**: cubic


Entry 4:
Entry from the Alexandria database: a crystal of YSi2Bi2 relaxed with PBEsol (meta-GGA SCAN).

Unit cell a=3.4984 b=3.4984 c=10.1765 alpha=99.90 beta=99.90 gamma=90.00
With the nearest neighbours (Å) after each atom.
Sites, in units of the cell vectors:
Y: 0.0000 0.0000 0.0000  8 Bi 3.34, 4 Y 3.50
Bi: 0.6134 0.6134 0.2269  4 Si 3.21, 4 Y 3.34, 4 Bi 3.50
Bi: 0.3866 0.3866 0.7731  4 Si 3.21, 4 Y 3.34, 4 Bi 3.50
Si: 0.2500 0.7500 0.5000  4 Si 2.47
Si: 0.7500 0.2500 0.5000  4 Si 2.47

## Properties
**Formation energy without anion corrections**: 54 meV per atom
**Crystal system**: tetragonal
**Distance to the lowest polymorph of the same formula**: 18 kJ/mol of formula units


Entry 5:
Entry from the Alexandria database: a crystal of YSi2Bi2 relaxed with PBEsol (meta-GGA SCAN).

Unit cell a=4.2919 b=7.4154 c=7.4154 alpha=90.00 beta=90.00 gamma=90.00
With the nearest neighbours (Å) after each atom.
Sites, in units of the cell vectors:
Si: 0.0000 0.3843 0.8843  1 Si 2.43
Si: 0.0000 0.8843 0.6157  1 Si 2.43
Si: 0.0000 0.1157 0.3843  1 Si 2.43
Si: 0.0000 0.6157 0.1157  1 Si 2.43
Bi: 0.5000 0.6861 0.8139  6 Si 2.99-3.14
Bi: 0.5000 0.8139 0.3139  6 Si 2.99-3.14
Bi: 0.5000 0.1861 0.6861  6 Si 2.99-3.14
Bi: 0.5000 0.3139 0.1861  6 Si 2.99-3.14
Y: 0.0000 0.5000 0.5000  4 Si 2.98
Y: 0.0000 0.0000 0.0000  4 Si 2.98

## Properties
**Formation energy without anion corrections**: 17 meV per atom
**Crystal system**: tetragonal
**Distance to the lowest polymorph of the same formula**: 0 kJ/mol of formula units


Entry 6:
Entry from the Alexandria database: a crystal of ZnSiBi3 relaxed with PBEsol (meta-GGA SCAN).

Unit cell a=5.3750 b=5.3750 c=5.3750 alpha=90.00 beta=90.00 gamma=90.00
With the nearest neighbours (Å) after each atom.
Sites, in units of the cell vectors:
Zn: 0.5000 0.5000 0.5000  12 Bi 3.80
Bi: 0.0000 0.5000 0.0000  2 Si 2.69
Bi: 0.0000 0.0000 0.5000  2 Si 2.69
Bi: 0.5000 0.0000 0.0000  2 Si 2.69
Si: 0.0000 0.0000 0.0000  6 Bi 2.69

## Properties
**Formation energy without anion corrections**: 841 meV per atom
**Crystal system**: cubic


Entry 7:
Entry from the Alexandria database: a crystal of Zr2Si2Bi relaxed with PBEsol (meta-GGA SCAN).

Unit cell a=3.6317 b=3.6317 c=7.9366 alpha=103.23 beta=103.23 gamma=90.00
With the nearest neighbours (Å) after each atom.
Sites, in units of the cell vectors:
Bi: 0.0000 0.0000 0.0000  8 Zr 3.07
Zr: 0.3885 0.3885 0.7770  4 Si 2.76, 4 Bi 3.07
Zr: 0.6115 0.6115 0.2230  4 Si 2.76, 4 Bi 3.07
Si: 0.7500 0.2500 0.5000  4 Si 2.57, 4 Zr 2.76
Si: 0.2500 0.7500 0.5000  4 Si 2.57, 4 Zr 2.76

## Properties
**Formation energy without anion corrections**: -520 meV per atom
**Crystal system**: tetragonal


Entry 8:
Entry from the Alexandria database: a crystal of SmBi3 relaxed with PBEsol (meta-GGA SCAN).

Unit cell a=5.9274 b=6.7783 c=6.7783 alpha=120.00 beta=90.00 gamma=90.00
With the nearest neighbours (Å) after each atom.
Sites, in units of the cell vectors:
Bi: 0.7500 0.3440 0.1720  8 Bi 3.28-3.59, 4 Sm 3.39-3.52
Bi: 0.7500 0.8280 0.6560  8 Bi 3.28-3.59, 4 Sm 3.39-3.52
Bi: 0.2500 0.1720 0.8280  8 Bi 3.28-3.59, 4 Sm 3.39-3.52
Bi: 0.2500 0.6560 0.8280  8 Bi 3.28-3.59, 4 Sm 3.39-3.52
Bi: 0.2500 0.1720 0.3440  8 Bi 3.28-3.59, 4 Sm 3.39-3.52
Bi: 0.7500 0.8280 0.1720  8 Bi 3.28-3.59, 4 Sm 3.39-3.52
Sm: 0.2500 0.6667 0.3333  12 Bi 3.39-3.52
Sm: 0.7500 0.3333 0.6667  12 Bi 3.39-3.52

## Properties
**Crystal system**: hexagonal
**Formation energy from the elements**: -443 meV per atom